Material: Pr2GdTl2Zn3Cd
Method: DFT, GGA-PBE
State: optimized geometry

Lattice parameters (Å, degrees): 4.6340 7.4043 7.4043 119.36 90.00 90.00
Positions (direct):
Pr  0.0000  0.2105  0.7895
Pr  0.0000  0.7895  0.2105
Gd  0.0000  0.6333  0.6333
Tl  0.5000  0.5475  0.8735
Tl  0.5000  0.8735  0.5475
Zn  0.5000  0.2125  0.4425
Zn  0.5000  0.4425  0.2125
Zn  0.5000  0.9851  0.9851
Cd  0.0000  0.2205  0.2205

## Properties
The value obtained for the total moment is 0.0 Bohr magnetons per cell. Its symmetry is Amm2. The calculation puts the total energy at -26.36 eV/cell.

---

Material: PmFe2
Method: DFT, GGA-PBE
State: optimized geometry

Lattice parameters (Å, degrees): 8.7351 8.7351 8.7351 60.00 60.00 60.00
Positions (direct):
Pm  0.1250  0.1250  0.1250
Pm  0.8750  0.8750  0.8750
Fe  0.0000  0.0000  0.0000
Fe  0.0000  0.0000  0.5000
Fe  0.0000  0.5000  0.0000
Fe  0.5000  0.0000  0.0000

## Properties
The value obtained for the total moment is 10.0 Bohr magnetons per cell. Its symmetry is Fd-3m. The value obtained for the energy of formation from the pure elements is 764 kJ/mol of formula units. The excess energy over the best structure of this formula in the dataset is 2588 meV per atom. The calculation puts the total energy at -26.90 eV/cell.

---

Material: LuBPt
Method: DFT, GGA-PBE
State: optimized geometry

Lattice parameters (Å, degrees): 4.2807 4.2807 4.2807 60.00 60.00 60.00
Positions (direct):
Lu  0.0000  0.0000  0.0000
B  0.5000  0.5000  0.5000
Pt  0.7500  0.7500  0.7500

## Properties
The value obtained for the total moment is 0.5 Bohr magnetons per cell. Its symmetry is F-43m. The excess energy over the best structure of this formula in the dataset is 396 meV per atom. The calculation puts the total energy at -17.23 eV/cell.

---

Material: PrReNO
Method: DFT, GGA-PBE
State: optimized geometry

Lattice parameters (Å, degrees): 3.8441 3.8441 8.2129 90.00 90.00 90.00
Positions (direct):
Pr  0.2500  0.2500  0.1561
Pr  0.7500  0.7500  0.8439
Re  0.2500  0.7500  0.5000
Re  0.7500  0.2500  0.5000
N  0.2500  0.2500  0.6161
N  0.7500  0.7500  0.3839
O  0.2500  0.7500  0.0000
O  0.7500  0.2500  0.0000

## Properties
The value obtained for the total moment is 0.0 Bohr magnetons per cell. Its symmetry is P4/nmm. The excess energy over the best structure of this formula in the dataset is 0 meV per atom. The calculation puts the total energy at -70.49 eV/cell.